No. 1
{"formula": "PuNpSnHg", "functional": "PBE", "state": "relaxed", "formation_enthalpy_0k_ev_per_atom": -0.0242, "magmom_total_mub_per_fu": 10.98, "spacegroup": "F-43m", "cell": [[-1.882, 2.656, 4.205], [-4.552, -1.525, 2.288], [0.070, -2.253, 4.816]], "species": ["Hg", "Pu", "Sn", "Np"], "fractional_positions": [[0.750, 0.750, 0.750], [0.500, 0.500, 0.500], [0.250, 0.250, 0.250], [0.000, 0.000, 0.000]]}

=====

No. 2
{"formula": "Rb4Np3HgS8", "functional": "PBE", "state": "relaxed", "formation_energy_uncorrected_ev_per_atom": -1.168, "magmom_total_mub_per_fu": 10.91, "spacegroup": "R-3m", "cell": [[8.296, 0.000, 0.000], [0.000, 8.989, 0.477], [-4.148, -4.145, 5.873]], "species": ["Np", "Np", "Np", "S", "S", "S", "S", "S", "S", "S", "S", "Rb", "Rb", "Rb", "Rb", "Hg"], "fractional_positions": [[0.500, 0.500, 0.500], [0.500, 0.500, 0.000], [0.000, 0.500, 0.500], [0.762, 0.310, 0.524], [0.238, 0.690, 0.952], [0.762, 0.310, 0.048], [0.270, 0.310, 0.540], [0.286, 0.310, 0.048], [0.730, 0.690, 0.460], [0.238, 0.690, 0.476], [0.714, 0.690, 0.952], [0.500, 0.000, 0.000], [0.000, 0.000, 0.500], [0.000, 0.000, 0.000], [0.500, 0.000, 0.500], [0.000, 0.500, 0.000]]}

=====

No. 3
{"formula": "Rb2NpHgS4", "functional": "PBE", "state": "relaxed", "formation_energy_uncorrected_ev_per_atom": -0.928, "magmom_total_mub_per_fu": 0.99, "spacegroup": "P2/m", "cell": [[-3.827, -1.075, -0.864], [-0.462, -4.068, 7.106], [-3.182, 2.851, 10.544]], "species": ["Hg", "S", "S", "S", "S", "Np", "Rb", "Rb"], "fractional_positions": [[0.500, 0.500, 0.000], [0.500, 0.216, 0.668], [0.500, 0.784, 0.332], [0.000, 0.439, 0.320], [0.000, 0.561, 0.680], [0.000, 0.500, 0.500], [0.500, 0.000, 0.500], [0.000, 0.000, 0.000]]}

=====

No. 4
{"formula": "Rb2Np3HgSe8", "functional": "PBE", "state": "relaxed", "formation_energy_uncorrected_ev_per_atom": -0.944, "magmom_total_mub_per_fu": 6.97, "spacegroup": "R3m", "cell": [[8.362, 0.000, 0.000], [4.181, 7.242, 0.000], [4.181, 2.414, 8.506]], "species": ["Se", "Se", "Se", "Se", "Se", "Se", "Se", "Se", "Np", "Np", "Np", "Hg", "Rb", "Rb"], "fractional_positions": [[0.696, 0.238, 0.828], [0.762, 0.300, 0.175], [0.273, 0.273, 0.180], [0.725, 0.725, 0.826], [0.238, 0.238, 0.828], [0.238, 0.696, 0.828], [0.300, 0.762, 0.175], [0.762, 0.762, 0.175], [0.500, 0.998, 0.003], [0.998, 0.500, 0.003], [0.500, 0.500, 0.003], [0.861, 0.861, 0.418], [0.140, 0.140, 0.580], [0.500, 0.500, 0.501]]}

=====

No. 5
{"formula": "Rb2NpHg2Se4", "functional": "PBE", "state": "relaxed", "formation_energy_uncorrected_ev_per_atom": -0.804, "magmom_total_mub_per_fu": 2.87, "spacegroup": "C2/m", "cell": [[-3.352, 2.404, -0.655], [-4.340, -6.869, -3.000], [1.052, 0.264, 8.904]], "species": ["Se", "Se", "Se", "Se", "Rb", "Rb", "Hg", "Hg", "Np"], "fractional_positions": [[0.481, 0.213, 0.961], [0.171, 0.228, 0.341], [0.519, 0.787, 0.039], [0.829, 0.772, 0.659], [0.129, 0.575, 0.258], [0.871, 0.425, 0.742], [0.694, 0.019, 0.387], [0.306, 0.981, 0.613], [0.000, 0.000, 0.000]]}

=====

No. 6
{"formula": "RbNpHgTe3", "functional": "PBE", "state": "relaxed", "formation_energy_uncorrected_ev_per_atom": -0.623, "magmom_total_mub_per_fu": 3.90, "spacegroup": "P2_1/m", "cell": [[-4.363, -1.076, 1.153], [2.875, -8.578, 2.877], [0.530, 7.019, 8.556]], "species": ["Np", "Np", "Te", "Te", "Te", "Te", "Te", "Te", "Rb", "Rb", "Hg", "Hg"], "fractional_positions": [[0.250, 0.683, 0.142], [0.750, 0.317, 0.858], [0.250, 0.097, 0.877], [0.750, 0.903, 0.123], [0.750, 0.234, 0.550], [0.250, 0.766, 0.450], [0.750, 0.466, 0.152], [0.250, 0.534, 0.848], [0.750, 0.769, 0.738], [0.250, 0.231, 0.262], [0.250, 0.091, 0.619], [0.750, 0.909, 0.381]]}

=====

No. 7
{"formula": "Rb2NpHg2Te4", "functional": "PBE", "state": "relaxed", "formation_energy_uncorrected_ev_per_atom": -0.584, "magmom_total_mub_per_fu": 3.09, "spacegroup": "C2/m", "cell": [[-3.949, 1.918, 0.674], [-3.736, -8.208, 1.469], [5.247, 3.204, 6.994]], "species": ["Te", "Te", "Te", "Te", "Rb", "Rb", "Hg", "Hg", "Np"], "fractional_positions": [[0.821, 0.766, 0.642], [0.520, 0.780, 0.040], [0.179, 0.234, 0.358], [0.480, 0.220, 0.960], [0.871, 0.417, 0.742], [0.129, 0.583, 0.258], [0.696, 0.022, 0.393], [0.304, 0.978, 0.607], [0.000, 0.000, 0.000]]}

=====

No. 8
{"formula": "RbNp2HgTe4", "functional": "PBE", "state": "relaxed", "formation_energy_uncorrected_ev_per_atom": -0.553, "magmom_total_mub_per_fu": 8.92, "spacegroup": "Cmcm", "cell": [[4.569, 0.000, 0.000], [-2.285, 7.788, 0.000], [0.000, 0.000, 15.961]], "species": ["Te", "Te", "Te", "Te", "Te", "Te", "Te", "Te", "Np", "Np", "Np", "Np", "Hg", "Hg", "Rb", "Rb"], "fractional_positions": [[0.544, 0.089, 0.250], [0.000, 0.000, 0.500], [0.262, 0.524, 0.398], [0.262, 0.524, 0.102], [0.738, 0.476, 0.602], [0.456, 0.911, 0.750], [0.000, 0.000, 0.000], [0.738, 0.476, 0.898], [0.626, 0.252, 0.064], [0.626, 0.252, 0.436], [0.374, 0.748, 0.936], [0.374, 0.748, 0.564], [0.844, 0.689, 0.750], [0.156, 0.311, 0.250], [0.131, 0.261, 0.750], [0.869, 0.739, 0.250]]}

=====

No. 9
{"formula": "Rb3Np2HgTe6", "functional": "PBE", "state": "relaxed", "formation_energy_uncorrected_ev_per_atom": -0.725, "magmom_total_mub_per_fu": 7.02, "spacegroup": "C2/m", "cell": [[-7.288, 3.226, -0.748], [2.470, -2.861, 7.057], [4.701, 7.438, -0.076]], "species": ["Rb", "Rb", "Rb", "Te", "Te", "Te", "Te", "Te", "Te", "Np", "Np", "Hg"], "fractional_positions": [[0.500, 0.500, 0.500], [0.840, 0.160, 0.500], [0.160, 0.840, 0.500], [0.728, 0.728, 0.188], [0.934, 0.586, 0.800], [0.272, 0.272, 0.812], [0.586, 0.934, 0.800], [0.066, 0.414, 0.200], [0.414, 0.066, 0.200], [0.332, 0.668, 0.000], [0.668, 0.332, 0.000], [0.000, 0.000, 0.000]]}

=====

No. 10
{"formula": "NpHgRh2", "functional": "PBE", "state": "relaxed", "formation_enthalpy_0k_ev_per_atom": -0.0241, "magmom_total_mub_per_fu": 2.45, "spacegroup": "R-3m", "cell": [[-0.707, -2.401, 2.652], [2.684, -2.065, 1.353], [2.028, 3.470, 6.188]], "species": ["Hg", "Np", "Rh", "Rh"], "fractional_positions": [[0.500, 0.500, 0.500], [0.000, 0.000, 0.000], [0.743, 0.743, 0.772], [0.257, 0.257, 0.228]]}

=====

No. 11
{"formula": "NpHgRh", "functional": "PBE", "state": "relaxed", "formation_enthalpy_0k_ev_per_atom": 0.1725, "magmom_total_mub_per_fu": 0.71, "spacegroup": "P4_2/m", "cell": [[3.220, 0.000, 0.000], [0.000, 9.340, 0.000], [0.000, 0.000, 9.340]], "species": ["Np", "Np", "Np", "Np", "Rh", "Rh", "Rh", "Rh", "Hg", "Hg", "Hg", "Hg"], "fractional_positions": [[0.000, 0.443, 0.658], [0.500, 0.658, 0.557], [0.000, 0.557, 0.342], [0.500, 0.342, 0.443], [0.000, 0.797, 0.713], [0.500, 0.713, 0.203], [0.500, 0.287, 0.797], [0.000, 0.203, 0.287], [0.000, 0.081, 0.643], [0.500, 0.357, 0.081], [0.500, 0.643, 0.919], [0.000, 0.919, 0.357]]}

=====

No. 12
{"formula": "Np2HgRh", "functional": "PBE", "state": "relaxed", "formation_enthalpy_0k_ev_per_atom": 0.0873, "magmom_total_mub_per_fu": 8.06, "spacegroup": "P4/mmm", "cell": [[-1.746, -3.353, 0.118], [1.898, -0.877, 3.152], [-4.533, 2.480, 3.420]], "species": ["Hg", "Rh", "Np", "Np"], "fractional_positions": [[0.500, 0.500, 0.500], [0.500, 0.500, 0.000], [0.000, 0.000, 0.213], [0.000, 0.000, 0.787]]}

=====

No. 13
{"formula": "NpHgRh2", "functional": "PBE", "state": "relaxed", "formation_enthalpy_0k_ev_per_atom": -0.2244, "magmom_total_mub_per_fu": 3.22, "spacegroup": "P4/mmm", "cell": [[3.688, 0.000, 0.000], [0.000, 4.458, 0.000], [0.000, 0.000, 4.458]], "species": ["Np", "Rh", "Rh", "Hg"], "fractional_positions": [[0.500, 0.000, 0.000], [0.000, 0.500, 0.000], [0.000, 0.000, 0.500], [0.500, 0.500, 0.500]]}

=====

No. 14
{"formula": "NpHgRh4", "functional": "PBE", "state": "relaxed", "formation_enthalpy_0k_ev_per_atom": -0.1712, "magmom_total_mub_per_fu": 2.41, "spacegroup": "F-43m", "cell": [[-1.765, 3.942, -3.026], [-5.068, 1.439, 0.235], [-1.333, 4.610, 2.187]], "species": ["Rh", "Rh", "Rh", "Rh", "Hg", "Np"], "fractional_positions": [[0.626, 0.626, 0.626], [0.123, 0.626, 0.626], [0.626, 0.626, 0.123], [0.626, 0.123, 0.626], [0.000, 0.000, 0.000], [0.250, 0.250, 0.250]]}

=====

No. 15
{"formula": "NpHgRuRh", "functional": "PBE", "state": "relaxed", "formation_enthalpy_0k_ev_per_atom": -0.0551, "magmom_total_mub_per_fu": 2.63, "spacegroup": "F-43m", "cell": [[-3.739, -2.711, 0.775], [0.068, -3.148, 3.466], [-2.625, 0.667, 3.821]], "species": ["Hg", "Np", "Rh", "Ru"], "fractional_positions": [[0.000, 0.000, 0.000], [0.500, 0.500, 0.500], [0.750, 0.750, 0.750], [0.250, 0.250, 0.250]]}

=====

No. 16
{"formula": "NpHgRu2", "functional": "PBE", "state": "relaxed", "formation_enthalpy_0k_ev_per_atom": 0.0915, "magmom_total_mub_per_fu": 1.59, "de_polymorph_kj_per_mol_atoms": 0.0, "spacegroup": "P4/mmm", "cell": [[-2.047, 2.708, -1.348], [-3.105, -2.914, -1.140], [-1.921, 0.507, 3.935]], "species": ["Ru", "Ru", "Hg", "Np"], "fractional_positions": [[0.000, 0.500, 0.000], [0.000, 0.000, 0.500], [0.500, 0.500, 0.500], [0.500, 0.000, 0.000]]}

=====

No. 17
{"formula": "NpHgRu2", "functional": "PBE", "state": "relaxed", "formation_enthalpy_0k_ev_per_atom": 0.1313, "magmom_total_mub_per_fu": 2.18, "de_polymorph_kj_per_mol_atoms": 3.8, "spacegroup": "Fm-3m", "cell": [[-3.748, -2.720, 0.567], [-1.079, -1.631, 4.236], [-3.751, 1.634, 2.243]], "species": ["Ru", "Ru", "Hg", "Np"], "fractional_positions": [[0.250, 0.250, 0.250], [0.750, 0.750, 0.750], [0.500, 0.500, 0.500], [0.000, 0.000, 0.000]]}

=====

No. 18
{"formula": "Np2HgRu", "functional": "PBE", "state": "relaxed", "formation_enthalpy_0k_ev_per_atom": 0.0877, "magmom_total_mub_per_fu": 7.79, "spacegroup": "P4/mmm", "cell": [[3.193, 0.000, 0.000], [0.000, 3.193, 0.000], [0.000, 0.000, 8.567]], "species": ["Np", "Np", "Ru", "Hg"], "fractional_positions": [[0.000, 0.000, 0.789], [0.000, 0.000, 0.211], [0.500, 0.500, 0.000], [0.500, 0.500, 0.500]]}

=====

No. 19
{"formula": "Np4HgS8", "functional": "PBE", "state": "relaxed", "formation_energy_uncorrected_ev_per_atom": -1.139, "magmom_total_mub_per_fu": 12.00, "spacegroup": "R-3m", "cell": [[7.311, 0.000, 3.334], [2.895, 6.714, 3.334], [-0.153, -0.101, 10.019]], "species": ["S", "S", "S", "S", "S", "S", "S", "S", "Hg", "Np", "Np", "Np", "Np"], "fractional_positions": [[0.283, 0.783, 0.151], [0.717, 0.717, 0.849], [0.783, 0.283, 0.151], [0.283, 0.283, 0.151], [0.783, 0.783, 0.151], [0.217, 0.717, 0.849], [0.217, 0.217, 0.849], [0.717, 0.217, 0.849], [0.500, 0.500, 0.500], [0.500, 0.000, 0.000], [0.000, 0.500, 0.000], [0.000, 0.000, 0.000], [0.500, 0.500, 0.000]]}

=====

No. 20
{"formula": "Np3Hg5S12", "functional": "PBE", "state": "relaxed", "formation_energy_uncorrected_ev_per_atom": -0.433, "magmom_total_mub_per_fu": 8.72, "spacegroup": "Ia-3d", "cell": [[13.562, 0.000, 0.000], [-4.521, 12.786, 0.000], [-4.521, -6.393, 11.073]], "species": ["Hg", "Hg", "Hg", "Hg", "Hg", "Hg", "Hg", "Hg", "Hg", "Hg", "Hg", "Hg", "Hg", "Hg", "Hg", "Hg", "Hg", "Hg", "Hg", "Hg", "S", "S", "S", "S", "S", "S", "S", "S", "S", "S", "S", "S", "S", "S", "S", "S", "S", "S", "S", "S", "S", "S", "S", "S", "S", "S", "S", "S", "S", "S", "S", "S", "S", "S", "S", "S", "S", "S", "S", "S", "S", "S", "S", "S", "S", "S", "S", "S", "Np", "Np", "Np", "Np", "Np", "Np", "Np", "Np", "Np", "Np", "Np", "Np"], "fractional_positions": [[0.875, 0.625, 0.750], [0.000, 0.500, 0.000], [0.000, 0.000, 0.000], [0.125, 0.375, 0.250], [0.125, 0.750, 0.375], [0.250, 0.375, 0.625], [0.875, 0.250, 0.625], [0.375, 0.250, 0.125], [0.500, 0.000, 0.000], [0.250, 0.875, 0.125], [0.375, 0.125, 0.750], [0.500, 0.500, 0.000], [0.500, 0.500, 0.500], [0.625, 0.875, 0.250], [0.750, 0.125, 0.875], [0.500, 0.000, 0.500], [0.750, 0.625, 0.375], [0.000, 0.500, 0.500], [0.000, 0.000, 0.500], [0.625, 0.750, 0.875], [0.056, 0.417, 0.829], [0.083, 0.912, 0.139], [0.227, 0.671, 0.088], [0.171, 0.088, 0.727], [0.912, 0.829, 0.773], [0.944, 0.361, 0.273], [0.944, 0.583, 0.171], [0.056, 0.639, 0.727], [0.444, 0.671, 0.083], [0.588, 0.727, 0.671], [0.671, 0.444, 0.583], [0.583, 0.944, 0.671], [0.861, 0.588, 0.917], [0.671, 0.227, 0.588], [0.361, 0.944, 0.773], [0.412, 0.273, 0.329], [0.361, 0.417, 0.088], [0.273, 0.861, 0.944], [0.773, 0.444, 0.361], [0.139, 0.727, 0.556], [0.556, 0.329, 0.917], [0.412, 0.139, 0.583], [0.417, 0.056, 0.329], [0.727, 0.588, 0.171], [0.556, 0.227, 0.139], [0.727, 0.139, 0.056], [0.861, 0.273, 0.444], [0.171, 0.083, 0.944], [0.829, 0.912, 0.273], [0.639, 0.583, 0.912], [0.139, 0.412, 0.083], [0.273, 0.412, 0.829], [0.912, 0.083, 0.639], [0.773, 0.329, 0.912], [0.639, 0.056, 0.227], [0.417, 0.361, 0.588], [0.227, 0.556, 0.639], [0.088, 0.917, 0.361], [0.829, 0.917, 0.056], [0.588, 0.861, 0.417], [0.583, 0.639, 0.412], [0.917, 0.088, 0.861], [0.088, 0.171, 0.227], [0.083, 0.171, 0.444], [0.329, 0.556, 0.417], [0.444, 0.773, 0.861], [0.917, 0.829, 0.556], [0.329, 0.773, 0.412], [0.125, 0.250, 0.875], [0.875, 0.125, 0.250], [0.375, 0.750, 0.625], [0.625, 0.375, 0.750], [0.375, 0.625, 0.250], [0.125, 0.875, 0.750], [0.625, 0.250, 0.375], [0.750, 0.375, 0.125], [0.250, 0.625, 0.875], [0.875, 0.750, 0.125], [0.750, 0.875, 0.625], [0.250, 0.125, 0.375]]}

=====

no.,calculated volume (Å³ per atom)
1,26.58
2,28.40
3,34.13
4,36.79
5,31.52
6,38.47
7,36.79
8,35.50
9,38.73
10,20.36
11,23.41
12,22.16
13,18.32
14,17.29
15,18.16
16,17.74
17,17.95
18,21.84
19,38.21
20,24.00